1.
This record from Alexandria via LeMat-Bulk describes Y2Zr3Ga4 after structural relaxation. The functional is PBE.

Cell lengths 7.5391, 7.5602, 7.2653 Å; angles 90.00, 107.85, 90.00 degrees
Space group P2_1/c (No. 14)
Asymmetric unit:
Y: 0.1914 0.1729 0.0705
Zr: 0.2487 0.6799 0.2480
Zr: 0.5000 0.0000 0.5000
Ga: 0.0804 0.5363 0.8644
Ga: 0.4936 0.1234 0.8708

Calculated values
Magnetic moment: 1.55 μB per cell
ΔH_f (0 K): -0.5853 eV per atom
N(E_F): 9.89 states/eV/f.u.

***

2.
This record from Alexandria via LeMat-Bulk describes PrEr5Cd3 after structural relaxation. The functional is PBE.

Cell lengths 9.1652, 9.1652, 6.9260 Å; angles 90.00, 90.00, 120.00 degrees
Space group P6_3/mcm (No. 193)
Asymmetric unit:
Pr: 0.0000 0.0000 0.0000
Er: 0.0000 0.3341 0.2500
Er: 0.3333 0.6667 0.0000
Cd: 0.0000 0.3385 0.7500

Calculated values
Magnetic moment: 0.00 μB per cell
ΔH_f (0 K): -0.1691 eV per atom
N(E_F): 5.87 states/eV/f.u.

***

3.
This record from Alexandria via LeMat-Bulk describes GdTmCuOs after structural relaxation. The functional is PBE.

Cell lengths 6.8476, 6.8476, 6.8476 Å; angles 90.00, 90.00, 90.00 degrees
Space group F-43m (No. 216)
Asymmetric unit:
Gd: 0.0000 0.0000 0.0000
Tm: 0.0000 0.0000 0.5000
Cu: 0.2500 0.2500 0.7500
Os: 0.2500 0.2500 0.2500

Calculated values
Magnetic moment: 28.89 μB per cell
ΔH_f (0 K): -0.2581 eV per atom
N(E_F): 2.31 states/eV/f.u.

***

4.
This record from Alexandria via LeMat-Bulk describes DyNpS2 after structural relaxation. The functional is PBE.

Cell lengths 3.7817, 3.7817, 20.8699 Å; angles 90.00, 90.00, 120.00 degrees
Space group R3m (No. 160, hexagonal axes)
Asymmetric unit:
Dy: 0.0000 0.0000 0.0000
Np: 0.0000 0.0000 0.1751
S: 0.0000 0.0000 0.4174
S: 0.0000 0.0000 0.5899

Calculated values
Magnetic moment: 13.59 μB per cell
N(E_F): 8.83 states/eV/f.u.
Uncorrected formation energy: -6.350 eV per formula unit

***

5.
This record from Alexandria via LeMat-Bulk describes CdHgPO2 after structural relaxation. The functional is PBE.

Cell lengths 4.1528, 4.1528, 5.2551 Å; angles 90.00, 90.00, 90.00 degrees
Space group P4/mmm (No. 123)
Asymmetric unit:
Cd: 0.0000 0.0000 0.0000
Hg: 0.5000 0.5000 0.5000
P: 0.5000 0.5000 0.0000
O: 0.0000 0.5000 0.5000

Calculated values
Magnetic moment: 0.45 μB per cell
N(E_F): 5.58 states/eV/f.u.
Uncorrected formation energy: 2.841 eV per formula unit

***

6.
This record from Alexandria via LeMat-Bulk describes Nb6C5N after structural relaxation. The functional is PBE.

Cell lengths 5.5109, 9.5554, 5.5139 Å; angles 90.00, 109.46, 90.00 degrees
Space group C2/m (No. 12)
Asymmetric unit:
Nb: 0.2437 0.1705 0.2438
Nb: 0.2482 0.0000 0.7635
C: 0.0000 0.0000 0.0000
C: 0.0000 0.1661 0.5000
C: 0.0000 0.3338 0.0000
N: 0.0000 0.5000 0.5000

Calculated values
Magnetic moment: 0.00 μB per cell
N(E_F): 4.95 states/eV/f.u.
Uncorrected formation energy: -6.739 eV per formula unit

***

7.
This record from Alexandria via LeMat-Bulk describes Tb2TaSbN5 after structural relaxation. The functional is PBE.

Cell lengths 3.2638, 13.9775, 10.7598 Å; angles 90.00, 90.00, 90.00 degrees
Space group Cmc2_1 (No. 36)
Asymmetric unit:
Tb: 0.0000 0.1302 0.0000
Tb: 0.0000 0.1381 0.5305
Ta: 0.0000 0.2358 0.2775
Sb: 0.0000 0.4926 0.7460
N: 0.0000 0.0742 0.3156
N: 0.0000 0.2837 0.9090
N: 0.0000 0.2862 0.6454
N: 0.0000 0.3756 0.3211
N: 0.0000 0.4967 0.0604

Calculated values
Magnetic moment: 0.00 μB per cell
N(E_F): 2.04 states/eV/f.u.
Uncorrected formation energy: -7.398 eV per formula unit

***

8.
This record from Alexandria via LeMat-Bulk describes Sr4Li2Hg after structural relaxation. The functional is PBE.

Cell lengths 5.7587, 5.7587, 16.6213 Å; angles 90.00, 90.00, 90.00 degrees
Space group I4/mmm (No. 139)
Asymmetric unit:
Sr: 0.0000 0.5000 0.1181
Li: 0.0000 0.0000 0.2442
Hg: 0.0000 0.0000 0.0000

Calculated values
Magnetic moment: 0.00 μB per cell
ΔH_f (0 K): -0.1019 eV per atom
N(E_F): 7.38 states/eV/f.u.

***

9.
This record from Alexandria via LeMat-Bulk describes AgSnPd5 after structural relaxation. The functional is PBE.

Cell lengths 3.9943, 3.9943, 7.6916 Å; angles 90.00, 90.00, 90.00 degrees
Space group P4/mmm (No. 123)
Asymmetric unit:
Ag: 0.0000 0.0000 0.0000
Sn: 0.5000 0.5000 0.5000
Pd: 0.0000 0.5000 0.2660
Pd: 0.5000 0.5000 0.0000

Calculated values
Magnetic moment: 0.00 μB per cell
ΔH_f (0 K): -0.1922 eV per atom
N(E_F): 4.81 states/eV/f.u.

***

10.
This record from Alexandria via LeMat-Bulk describes MgHgBiPb after structural relaxation. The functional is PBE.

Cell lengths 3.6212, 3.6212, 8.2678 Å; angles 90.00, 90.00, 90.00 degrees
Space group P4mm (No. 99)
Asymmetric unit:
Mg: 0.0000 0.0000 0.0000
Hg: 0.5000 0.5000 0.1891
Bi: 0.5000 0.5000 0.7483
Pb: 0.0000 0.0000 0.4497

Calculated values
Magnetic moment: 0.00 μB per cell
ΔH_f (0 K): -0.0639 eV per atom
N(E_F): 1.63 states/eV/f.u.

***

11.
This record from Alexandria via LeMat-Bulk describes Nd2HoTl4 after structural relaxation. The functional is PBE.

Cell lengths 5.3290, 5.3290, 15.1984 Å; angles 90.00, 90.00, 90.00 degrees
Space group I4/mmm (No. 139)
Asymmetric unit:
Nd: 0.0000 0.0000 0.2487
Ho: 0.0000 0.0000 0.5000
Tl: 0.0000 0.5000 0.1112

Calculated values
Magnetic moment: 0.00 μB per cell
ΔH_f (0 K): -0.2383 eV per atom
N(E_F): 5.47 states/eV/f.u.

***

12.
This record from Alexandria via LeMat-Bulk describes HfRe2P4 after structural relaxation. The functional is PBE.

Cell lengths 4.7634, 4.7634, 12.2299 Å; angles 90.00, 90.00, 90.00 degrees
Space group I4/mmm (No. 139)
Asymmetric unit:
Hf: 0.0000 0.0000 0.0000
Re: 0.0000 0.0000 0.3958
P: 0.0000 0.0000 0.2185
P: 0.0000 0.5000 0.0000

Calculated values
Magnetic moment: 0.00 μB per cell
ΔH_f (0 K): 0.6214 eV per atom
N(E_F): 7.40 states/eV/f.u.

***

13.
This record from Alexandria via LeMat-Bulk describes SrTaFe3 after structural relaxation. The functional is PBE.

Cell lengths 4.7466, 4.7466, 4.7466 Å; angles 90.00, 90.00, 90.00 degrees
Space group Pm-3m (No. 221)
Asymmetric unit:
Sr: 0.0000 0.0000 0.0000
Ta: 0.5000 0.5000 0.5000
Fe: 0.0000 0.5000 0.5000

Calculated values
Magnetic moment: 5.57 μB per cell
ΔH_f (0 K): 0.9723 eV per atom
N(E_F): 7.95 states/eV/f.u.

***

14.
This record from Alexandria via LeMat-Bulk describes KAu2 after structural relaxation. The functional is PBE.

Cell lengths 12.2873, 2.8714, 8.6330 Å; angles 90.00, 110.83, 90.00 degrees
Space group C2/m (No. 12)
Asymmetric unit:
K: 0.1567 0.0000 0.1352
Au: 0.0548 0.5000 0.7388
Au: 0.1509 0.0000 0.5121

Calculated values
Magnetic moment: 0.00 μB per cell
ΔH_f (0 K): -0.1085 eV per atom
N(E_F): 0.32 states/eV/f.u.

***

15.
This record from Alexandria via LeMat-Bulk describes Na10B13C7 after structural relaxation. The functional is PBE.

Cell lengths 8.5094, 2.8387, 25.3124 Å; angles 90.00, 90.00, 90.00 degrees
Space group Amm2 (No. 38)
Asymmetric unit:
Na: 0.2470 0.0000 0.0000
Na: 0.2487 0.0000 0.2006
Na: 0.2497 0.0000 0.8000
Na: 0.2507 0.0000 0.6008
Na: 0.2522 0.0000 0.3997
B: 0.0000 0.0000 0.0734
B: 0.0000 0.0000 0.2668
B: 0.0000 0.0000 0.4609
B: 0.0000 0.0000 0.5330
B: 0.0000 0.0000 0.6697
B: 0.0000 0.0000 0.8636
B: 0.5000 0.0000 0.0691
B: 0.5000 0.0000 0.1388
B: 0.5000 0.0000 0.3272
B: 0.5000 0.0000 0.5303
B: 0.5000 0.0000 0.7334
B: 0.5000 0.0000 0.8668
B: 0.5000 0.0000 0.9359
C: 0.0000 0.0000 0.1375
C: 0.0000 0.0000 0.3319
C: 0.0000 0.0000 0.7348
C: 0.0000 0.0000 0.9293
C: 0.5000 0.0000 0.2644
C: 0.5000 0.0000 0.4669
C: 0.5000 0.0000 0.6694

Calculated values
Magnetic moment: 0.00 μB per cell
ΔH_f (0 K): 0.0959 eV per atom
N(E_F): 8.02 states/eV/f.u.

***

16.
This record from Alexandria via LeMat-Bulk describes Na2Ce2MnS6 after structural relaxation. The functional is PBE.

Cell lengths 6.8158, 11.8774, 7.0310 Å; angles 90.00, 108.14, 90.00 degrees
Space group C2/m (No. 12)
Asymmetric unit:
Na: 0.0000 0.1655 0.0000
Ce: 0.0000 0.3352 0.5000
Mn: 0.0000 0.0000 0.5000
S: 0.2311 0.1646 0.7179
S: 0.2362 0.0000 0.2889

Calculated values
Magnetic moment: 10.27 μB per cell
N(E_F): 2.49 states/eV/f.u.
Uncorrected formation energy: -15.390 eV per formula unit

***

17.
This record from Alexandria via LeMat-Bulk describes SrOs2Br after structural relaxation. The functional is PBE.

Cell lengths 5.2638, 10.9248, 2.9345 Å; angles 90.00, 90.00, 90.00 degrees
Space group Cmmm (No. 65)
Asymmetric unit:
Sr: 0.0000 0.0000 0.0000
Os: 0.2500 0.2500 0.5000
Br: 0.0000 0.5000 0.0000

Calculated values
Magnetic moment: 0.00 μB per cell
N(E_F): 4.16 states/eV/f.u.
Uncorrected formation energy: 4.901 eV per formula unit

***

18.
This record from Alexandria via LeMat-Bulk describes LaOsBr2 after structural relaxation. The functional is PBE.

Cell lengths 3.5170, 3.5170, 29.5696 Å; angles 90.00, 90.00, 120.00 degrees
Space group R-3m (No. 166, hexagonal axes)
Asymmetric unit:
La: 0.0000 0.0000 0.0000
Os: 0.0000 0.0000 0.5000
Br: 0.0000 0.0000 0.2574

Calculated values
Magnetic moment: 9.15 μB per cell
N(E_F): 4.86 states/eV/f.u.
Uncorrected formation energy: 1.865 eV per formula unit

***

19.
This record from Alexandria via LeMat-Bulk describes Ba3GaAs after structural relaxation. The functional is PBE.

Cell lengths 4.5827, 9.3100, 9.5462 Å; angles 88.01, 89.97, 75.80 degrees
Space group P-1 (No. 2)
Asymmetric unit:
Ba: 0.0537 0.3935 0.1592
Ba: 0.2382 0.0235 0.8246
Ba: 0.3971 0.7052 0.4124
Ga: 0.2152 0.0697 0.4457
As: 0.3871 0.7249 0.0642

Calculated values
Magnetic moment: 0.32 μB per cell
ΔH_f (0 K): -0.6279 eV per atom
N(E_F): 3.26 states/eV/f.u.

***

20.
This record from Alexandria via LeMat-Bulk describes Ni4Se2S after structural relaxation. The functional is PBE.

Cell lengths 5.5302, 10.8818, 7.0845 Å; angles 90.00, 90.00, 90.00 degrees
Space group Cmcm (No. 63)
Asymmetric unit:
Ni: 0.0000 0.2156 0.0690
Ni: 0.2318 0.4604 0.7500
Se: 0.0000 0.0000 0.0000
Se: 0.0000 0.2840 0.7500
S: 0.0000 0.3782 0.2500

Calculated values
Magnetic moment: 0.00 μB per cell
N(E_F): 6.93 states/eV/f.u.
Uncorrected formation energy: -1.159 eV per formula unit